[1]
Compound: Fe2NiPt
Source: Alexandria
Functional: PBEsol
Structure: optimized geometry

abc: 2.608 3.609 5.155
angles: 90.00 90.00 90.00
Space group Pmmm (No. 47)
One atom of each set of equivalent atoms:
Fe  0.000  0.000  0.233 x2
Ni  0.500  0.500  0.000 x1
Pt  0.500  0.500  0.500 x1

The crystal system is orthorhombic.

[2]
Compound: FeNiPt
Source: Alexandria
Functional: PBEsol
Structure: optimized geometry

abc: 2.646 2.646 10.608
angles: 90.00 90.00 90.00
Space group I4mm (No. 107)
One atom of each set of equivalent atoms:
Fe  0.000  0.000  0.000 x2
Ni  0.000  0.000  0.349 x2
Pt  0.000  0.000  0.673 x2

The crystal system is tetragonal. For the energy relative to the lowest polymorph listed for this composition, the calculation gives 0 meV per atom.

[3]
Compound: FeNi2Pt
Source: Alexandria
Functional: PBEsol
Structure: optimized geometry

abc: 5.774 5.774 5.774
angles: 90.00 90.00 90.00
Space group F-43m (No. 216)
One atom of each set of equivalent atoms:
Fe  0.000  0.000  0.000 x4
Ni  0.000  0.000  0.500 x4
Ni  0.250  0.250  0.750 x4
Pt  0.250  0.250  0.250 x4

The crystal system is cubic.

[4]
Compound: FeNiPt6
Source: Alexandria
Functional: PBEsol
Structure: optimized geometry

abc: 3.837 3.837 7.658
angles: 90.00 90.00 90.00
Space group P4/mmm (No. 123)
One atom of each set of equivalent atoms:
Fe  0.000  0.000  0.000 x1
Ni  0.000  0.000  0.500 x1
Pt  0.000  0.500  0.249 x4
Pt  0.500  0.500  0.000 x1
Pt  0.500  0.500  0.500 x1

The crystal system is tetragonal.

[5]
Compound: RbFe2ReNi
Source: Alexandria
Functional: PBEsol
Structure: optimized geometry

abc: 4.389 4.389 4.297
angles: 90.00 90.00 90.00
Space group P4/mmm (No. 123)
One atom of each set of equivalent atoms:
Rb  0.000  0.000  0.000 x1
Fe  0.000  0.500  0.000 x2
Re  0.500  0.500  0.500 x1
Ni  0.000  0.000  0.500 x1

The crystal system is tetragonal.

[6]
Compound: FeRe2Ni
Source: Alexandria
Functional: PBEsol
Structure: optimized geometry

abc: 3.058 3.058 5.411
angles: 90.00 90.00 90.00
Space group P4mm (No. 99)
One atom of each set of equivalent atoms:
Fe  0.000  0.000  0.000 x1
Re  0.000  0.000  0.454 x1
Re  0.500  0.500  0.730 x1
Ni  0.500  0.500  0.199 x1

The crystal system is tetragonal. For the energy relative to the lowest polymorph listed for this composition, the calculation gives 67 meV per atom.

no.,ΔH_f (0 K) (eV/atom)
1,-0.109
2,-0.105
3,-0.003
4,-0.130
5,3.060
6,0.089